Record 1
VASP calculation (PBE) on a geometry-optimized HoHg2 structure.

Cell: 6.272 6.272 6.272 Å, 146.83 146.83 47.62°
Site moments in Bohr magnetons follow the coordinates.
Fractional coordinates of all 3 atoms:
Hg  0.333  0.333  0.000  0.00
Hg  0.667  0.667  0.000  0.00
Ho  0.000  0.000  0.000  0.14

## Properties
Its energy of formation from the pure elements is -0.337 eV per atom. As for the space group: I4/mmm, No. 139.

---

Record 2
VASP calculation (PBE) on a geometry-optimized HoErMgCu structure.

Cell: 3.459 3.459 7.996 Å, 90.00 90.00 90.00°
Fractional coordinates of all 4 atoms:
Cu  0.500  0.500  0.610
Ho  0.000  0.000  0.397
Er  0.000  0.000  0.816
Mg  0.500  0.500  0.105

## Properties
The calculation puts the distance to the lowest polymorph of the same formula at 0.000 kcal/mol of atoms. Its energy of formation from the pure elements is -0.155 eV per atom. As for the space group: P4mm, No. 99.

---

Number 1: theoretical density 12.78 g cm⁻³. Number 2: theoretical density 7.29 g cm⁻³.